1.
Here is an optimized crystal structure of NaGa2Rh from the Alexandria database. Energies are from PBE.

Calculated values
The value obtained for the volume is 244.39 Å³ per cell. The value obtained for the total energy is -3.970 eV per atom. The formation energy from the elements is -0.2894 eV/atom.

Cell: 4.2695 4.2695 15.4810 Å, 90.00 90.00 120.00°
Space group R-3m (No. 166, hexagonal axes)
Inequivalent atoms, fractional coordinates:
Na 0.0000 0.0000 0.0000
Ga 0.0000 0.0000 0.2049
Rh 0.0000 0.0000 0.5000

2.
Here is an optimized crystal structure of AcPmTiN3 from the Alexandria database. Energies are from PBE.

Calculated values
Its formation energy without anion corrections is -1220 meV per atom. The value obtained for the volume is 220.45 Å³ per cell. The value obtained for the total energy is -8.175 eV per atom.

Cell: 7.753 3.686 7.831 Å, 90.00 99.94 90.00°
Space group P2_1/m (No. 11)
Inequivalent atoms, fractional coordinates:
Ac 0.176 0.250 0.181
Pm 0.369 0.750 0.835
Ti 0.098 0.250 0.600
N 0.108 0.250 0.846
N 0.156 0.750 0.524
N 0.406 0.750 0.137

3.
Here is an optimized crystal structure of Sc3CrCl from the Alexandria database. Energies are from PBE.

Calculated values
Its formation energy without anion corrections is 187 meV per atom. The value obtained for the volume is 104.10 Å³ per cell. The value obtained for the total energy is -5.906 eV per atom. As for the polymorph energy (0 for the lowest one): 0 meV per atom.

Cell: 4.704 4.704 4.704 Å, 90.00 90.00 90.00°
Space group Pm-3m (No. 221)
Inequivalent atoms, fractional coordinates:
Sc 0.000 0.000 0.500
Cr 0.500 0.500 0.500
Cl 0.000 0.000 0.000

4.
Here is an optimized crystal structure of BeGa2Ag2 from the Alexandria database. Energies are from PBE.

Calculated values
The value obtained for the volume is 173.73 Å³ per cell. The value obtained for the total energy is -2.810 eV per atom. The formation energy from the elements is 0.2860 eV/atom. As for the polymorph energy (0 for the lowest one): 52 meV per atom.

Cell: 6.436 6.436 4.194 Å, 90.00 90.00 90.00°
Space group P4/mbm (No. 127)
Inequivalent atoms, fractional coordinates:
Be 0.000 0.000 0.000
Ga 0.153 0.347 0.500
Ag 0.164 0.664 0.000

- Among the records above, which one has the highest total energy?
  BeGa2Ag2